Record 1
La2GaIr | Alexandria | PBE | optimized geometry; SG = P2_1/m; formation enthalpy at 0 K = -0.684 eV/atom
1.0
6.2921 0.0000 0.0000
0.0000 4.0460 0.0000
-3.0654 0.0000 8.3134
La Ga Ir
4 2 2
direct
0.1889 0.2500 0.4068
0.2734 0.7500 0.0498
0.7266 0.2500 0.9502
0.8111 0.7500 0.5932
0.3479 0.7500 0.7137
0.6521 0.2500 0.2863
0.1120 0.2500 0.7912
0.8880 0.7500 0.2088


Record 2
V2FeSi4 | Alexandria | PBE | optimized geometry; formation energy from raw total energies = 2.56 eV per formula unit; SG = I4/mmm
1.0
-2.1661 2.1661 5.9237
2.1661 -2.1661 5.9237
2.1661 2.1661 -5.9237
V Fe Si
2 1 4
direct
0.1025 0.1025 0.0000
0.8975 0.8975 0.0000
0.5000 0.5000 0.0000
0.0000 0.5000 0.5000
0.3088 0.3088 0.0000
0.5000 0.0000 0.5000
0.6912 0.6912 0.0000


Record 3
Y2Zr | Alexandria | PBE | optimized geometry; SG = Pnnm; energy above the most stable polymorph in this dataset = 53 kJ/mol of formula units; formation enthalpy at 0 K = 0.267 eV/atom
1.0
5.7113 0.0000 0.0000
0.0000 9.2997 0.0000
0.0000 0.0000 3.3128
Y Zr
4 2
direct
0.0011 0.1860 0.0000
0.4989 0.6860 0.5000
0.5011 0.3140 0.5000
0.9989 0.8140 0.0000
0.0000 0.5000 0.5000
0.5000 0.0000 0.0000